Entry 1:
# PBE La4Ti6O19, optimized geometry
# Raw formation energy = -3.06 eV per atom
# M_tot = 0.0 μB per formula unit
data_La4Ti6O19
_chemical_formula_sum 'La8 Ti12 O38'
_cell_length_a 8.9769
_cell_length_b 8.9769
_cell_length_c 8.9769
_cell_angle_alpha 90.00
_cell_angle_beta 90.00
_cell_angle_gamma 90.00
_symmetry_space_group_name_H-M 'I 2 3'
_symmetry_Int_Tables_number 197
_symmetry_space_group_name_Hall 'I 2 2 3'
loop_
_atom_site_label
_atom_site_type_symbol
_atom_site_fract_x
_atom_site_fract_y
_atom_site_fract_z
La1 La 0.1617 0.1617 0.1617
Ti1 Ti 0.0000 0.1632 0.5000
O1 O 0.0000 0.0000 0.0000
O2 O 0.0000 0.0000 0.3530
O3 O 0.0427 0.2863 0.6754

***

Entry 2:
# PBE KSc4Mn, optimized geometry
# ΔE_f = 0.735 eV per atom
# M_tot = 3.8 μB per formula unit
data_KSc4Mn
_chemical_formula_sum 'K4 Sc16 Mn4'
_cell_length_a 8.7436
_cell_length_b 8.7436
_cell_length_c 8.7436
_cell_angle_alpha 90.00
_cell_angle_beta 90.00
_cell_angle_gamma 90.00
_symmetry_space_group_name_H-M 'F -4 3 m'
_symmetry_Int_Tables_number 216
_symmetry_space_group_name_Hall 'F -4 2 3'
loop_
_atom_site_label
_atom_site_type_symbol
_atom_site_fract_x
_atom_site_fract_y
_atom_site_fract_z
K1 K 0.0000 0.0000 0.0000
Sc1 Sc 0.1213 0.1213 0.3787
Mn1 Mn 0.2500 0.2500 0.7500

***

Entry 3:
# PBE CeNbGe2O8, optimized geometry
# Raw formation energy = -2.14 eV per atom
# M_tot = 1.0 μB per formula unit
data_CeNbGe2O8
_chemical_formula_sum 'Ce1 Nb1 Ge2 O8'
_cell_length_a 5.5057
_cell_length_b 5.5057
_cell_length_c 6.7047
_cell_angle_alpha 90.00
_cell_angle_beta 90.00
_cell_angle_gamma 120.00
_symmetry_space_group_name_H-M 'P -3 m 1'
_symmetry_Int_Tables_number 164
_symmetry_space_group_name_Hall '-P 3 2"'
loop_
_atom_site_label
_atom_site_type_symbol
_atom_site_fract_x
_atom_site_fract_y
_atom_site_fract_z
Ce1 Ce 0.0000 0.0000 0.0000
Nb1 Nb 0.0000 0.0000 0.5000
Ge1 Ge 0.3333 0.6667 0.2140
O1 O 0.1594 0.3188 0.3083
O2 O 0.3333 0.6667 0.9587

***

Entry 4:
# PBE Ca2Tl2H, optimized geometry
# M_tot = 0.0 μB per formula unit
data_Ca2Tl2H
_chemical_formula_sum 'Ca4 Tl4 H2'
_cell_length_a 6.9701
_cell_length_b 6.9701
_cell_length_c 5.4720
_cell_angle_alpha 90.00
_cell_angle_beta 90.00
_cell_angle_gamma 90.00
_symmetry_space_group_name_H-M 'P 4/m b m'
_symmetry_Int_Tables_number 127
_symmetry_space_group_name_Hall '-P 4 2ab'
loop_
_atom_site_label
_atom_site_type_symbol
_atom_site_fract_x
_atom_site_fract_y
_atom_site_fract_z
Ca1 Ca 0.1786 0.3214 0.0000
Tl1 Tl 0.1521 0.6521 0.5000
H1 H 0.0000 0.0000 0.0000

***

Number 1: raw total energy -499.86 eV per cell. Number 2: raw total energy -124.73 eV per cell. Number 3: raw total energy -90.52 eV per cell. Number 4: raw total energy -25.91 eV per cell.